1.
DFT (PBE-GGA) results for an optimized crystal structure of Nb3As.

DFT total energy, eV per atom: -9.161
Crystal system: tetragonal
Magnetization, μB per formula unit: 0.000
Symmetry: P4_2/n

Unit cell a=10.3582 b=10.3582 c=5.2452 alpha=90.00 beta=90.00 gamma=90.00
Atoms (fractional coordinates):
As1 0.4564 0.2292 0.0197
As2 0.0436 0.2708 0.0197
As3 0.2292 0.0436 0.4803
As4 0.2708 0.4564 0.4803
As5 0.7292 0.5436 0.5197
As6 0.7708 0.9564 0.5197
As7 0.9564 0.7292 0.9803
As8 0.5436 0.7708 0.9803
Nb1 0.7388 0.6006 0.0180
Nb2 0.7612 0.8994 0.0180
Nb3 0.3440 0.6654 0.2277
Nb4 0.1560 0.8346 0.2277
Nb5 0.0557 0.5365 0.2411
Nb6 0.4443 0.9635 0.2411
Nb7 0.9635 0.0557 0.2589
Nb8 0.5365 0.4443 0.2589
Nb9 0.6654 0.1560 0.2723
Nb10 0.8346 0.3440 0.2723
Nb11 0.8994 0.7388 0.4820
Nb12 0.6006 0.7612 0.4820
Nb13 0.3994 0.2388 0.5180
Nb14 0.1006 0.2612 0.5180
Nb15 0.1654 0.6560 0.7277
Nb16 0.3346 0.8440 0.7277
Nb17 0.4635 0.5557 0.7411
Nb18 0.0365 0.9443 0.7411
Nb19 0.5557 0.0365 0.7589
Nb20 0.9443 0.4635 0.7589
Nb21 0.8440 0.1654 0.7723
Nb22 0.6560 0.3346 0.7723
Nb23 0.2388 0.1006 0.9820
Nb24 0.2612 0.3994 0.9820

=====

2.
DFT (PBE-GGA) results for an optimized crystal structure of Nb2As.

DFT total energy, eV per atom: -8.813
Crystal system: orthorhombic
Magnetization, μB per formula unit: 0.000
Symmetry: Pmma

Unit cell a=18.6387 b=3.5272 c=14.2789 alpha=90.00 beta=90.00 gamma=90.00
Atoms (fractional coordinates):
As1 0.1436 0.5000 0.0694
As2 0.3564 0.5000 0.0694
As3 0.5455 0.5000 0.1725
As4 0.9545 0.5000 0.1725
As5 0.7500 0.0000 0.1878
As6 0.1048 0.0000 0.3652
As7 0.3952 0.0000 0.3652
As8 0.6047 0.0000 0.3729
As9 0.8953 0.0000 0.3729
As10 0.1047 0.0000 0.6271
As11 0.3953 0.0000 0.6271
As12 0.6048 0.0000 0.6348
As13 0.8952 0.0000 0.6348
As14 0.2500 0.0000 0.8122
As15 0.0455 0.5000 0.8275
As16 0.4545 0.5000 0.8275
As17 0.6436 0.5000 0.9306
As18 0.8564 0.5000 0.9306
Nb1 0.0000 0.5000 0.0000
Nb2 0.5000 0.5000 0.0000
Nb3 0.7500 0.5000 0.0573
Nb4 0.6210 0.0000 0.0693
Nb5 0.8790 0.0000 0.0693
Nb6 0.2500 0.0000 0.1195
Nb7 0.0625 0.0000 0.1591
Nb8 0.4375 0.0000 0.1591
Nb9 0.1670 0.5000 0.2588
Nb10 0.3330 0.5000 0.2588
Nb11 0.6640 0.5000 0.2626
Nb12 0.8360 0.5000 0.2626
Nb13 0.0016 0.5000 0.3423
Nb14 0.4984 0.5000 0.3423
Nb15 0.2500 0.0000 0.3797
Nb16 0.7500 0.0000 0.3892
Nb17 0.1508 0.5000 0.4968
Nb18 0.3492 0.5000 0.4968
Nb19 0.0000 0.0000 0.5000
Nb20 0.5000 0.0000 0.5000
Nb21 0.6508 0.5000 0.5032
Nb22 0.8492 0.5000 0.5032
Nb23 0.2500 0.0000 0.6108
Nb24 0.7500 0.0000 0.6203
Nb25 0.5016 0.5000 0.6577
Nb26 0.9984 0.5000 0.6577
Nb27 0.1640 0.5000 0.7374
Nb28 0.3360 0.5000 0.7374
Nb29 0.6670 0.5000 0.7412
Nb30 0.8330 0.5000 0.7412
Nb31 0.5625 0.0000 0.8409
Nb32 0.9375 0.0000 0.8409
Nb33 0.7500 0.0000 0.8805
Nb34 0.1210 0.0000 0.9307
Nb35 0.3790 0.0000 0.9307
Nb36 0.2500 0.5000 0.9427

=====

3.
DFT (PBE-GGA) results for an optimized crystal structure of NbAs2.

DFT total energy, eV per atom: -6.800
Crystal system: monoclinic
Magnetization, μB per formula unit: 0.003
Symmetry: C2/m

Unit cell a=4.9314 b=4.9314 c=7.6065 alpha=107.95 beta=107.95 gamma=40.28
Atoms (fractional coordinates):
As1 0.3814 0.3814 0.0889
As2 0.6297 0.6297 0.4760
As3 0.3703 0.3703 0.5240
As4 0.6186 0.6186 0.9111
Nb1 0.1247 0.1247 0.1959
Nb2 0.8753 0.8753 0.8041

=====

4.
DFT (PBE-GGA) results for an optimized crystal structure of Nb2As.

DFT total energy, eV per atom: -7.937
Crystal system: cubic
Magnetization, μB per formula unit: 0.001
Symmetry: Fd-3m

Unit cell a=5.4290 b=5.4290 c=5.4290 alpha=60.00 beta=60.00 gamma=60.00
Atoms (fractional coordinates):
As1 0.0000 0.0000 0.0000
As2 0.2500 0.2500 0.2500
Nb1 0.6250 0.6250 0.1250
Nb2 0.6250 0.1250 0.6250
Nb3 0.1250 0.6250 0.6250
Nb4 0.6250 0.6250 0.6250

=====

5.
DFT (PBE-GGA) results for an optimized crystal structure of NbAs.

DFT total energy, eV per atom: -7.580
Crystal system: orthorhombic
Magnetization, μB per formula unit: 0.004
Symmetry: Pmma

Unit cell a=5.3214 b=4.5491 c=6.6909 alpha=90.00 beta=90.00 gamma=90.00
Atoms (fractional coordinates):
As1 0.7500 0.5000 0.1272
As2 0.2500 0.0000 0.2907
As3 0.7500 0.0000 0.7093
As4 0.2500 0.5000 0.8728
Nb1 0.7500 0.0000 0.3091
Nb2 0.0000 0.5000 0.5000
Nb3 0.5000 0.5000 0.5000
Nb4 0.2500 0.0000 0.6909

=====

6.
DFT (PBE-GGA) results for an optimized crystal structure of Nb4As3.

DFT total energy, eV per atom: -8.359
Crystal system: orthorhombic
Magnetization, μB per formula unit: 0.003
Symmetry: Cmcm

Unit cell a=3.5380 b=7.6110 c=18.9399 alpha=90.00 beta=90.00 gamma=76.56
Atoms (fractional coordinates):
As1 0.8423 0.3154 0.0776
As2 0.0983 0.8033 0.1179
As3 0.4130 0.1740 0.2500
As4 0.6917 0.6165 0.2500
As5 0.0983 0.8033 0.3821
As6 0.8423 0.3154 0.4224
As7 0.1577 0.6846 0.5776
As8 0.9017 0.1967 0.6179
As9 0.3083 0.3835 0.7500
As10 0.5870 0.8260 0.7500
As11 0.9017 0.1967 0.8821
As12 0.1577 0.6846 0.9224
Nb1 0.0000 0.0000 0.0000
Nb2 0.6692 0.6617 0.0285
Nb3 0.4663 0.0673 0.1194
Nb4 0.2623 0.4755 0.1616
Nb5 0.0532 0.8937 0.2500
Nb6 0.2623 0.4755 0.3384
Nb7 0.4663 0.0673 0.3806
Nb8 0.6692 0.6617 0.4715
Nb9 0.0000 0.0000 0.5000
Nb10 0.3308 0.3383 0.5285
Nb11 0.5337 0.9327 0.6194
Nb12 0.7377 0.5245 0.6616
Nb13 0.9468 0.1063 0.7500
Nb14 0.7377 0.5245 0.8384
Nb15 0.5337 0.9327 0.8806
Nb16 0.3308 0.3383 0.9715

=====

Which of these has the highest DFT total energy? NbAs2

=====

Repeat the second record exactly.
DFT (PBE-GGA) results for an optimized crystal structure of Nb2As.

DFT total energy, eV per atom: -8.813
Crystal system: orthorhombic
Magnetization, μB per formula unit: 0.000
Symmetry: Pmma

Unit cell a=18.6387 b=3.5272 c=14.2789 alpha=90.00 beta=90.00 gamma=90.00
Atoms (fractional coordinates):
As1 0.1436 0.5000 0.0694
As2 0.3564 0.5000 0.0694
As3 0.5455 0.5000 0.1725
As4 0.9545 0.5000 0.1725
As5 0.7500 0.0000 0.1878
As6 0.1048 0.0000 0.3652
As7 0.3952 0.0000 0.3652
As8 0.6047 0.0000 0.3729
As9 0.8953 0.0000 0.3729
As10 0.1047 0.0000 0.6271
As11 0.3953 0.0000 0.6271
As12 0.6048 0.0000 0.6348
As13 0.8952 0.0000 0.6348
As14 0.2500 0.0000 0.8122
As15 0.0455 0.5000 0.8275
As16 0.4545 0.5000 0.8275
As17 0.6436 0.5000 0.9306
As18 0.8564 0.5000 0.9306
Nb1 0.0000 0.5000 0.0000
Nb2 0.5000 0.5000 0.0000
Nb3 0.7500 0.5000 0.0573
Nb4 0.6210 0.0000 0.0693
Nb5 0.8790 0.0000 0.0693
Nb6 0.2500 0.0000 0.1195
Nb7 0.0625 0.0000 0.1591
Nb8 0.4375 0.0000 0.1591
Nb9 0.1670 0.5000 0.2588
Nb10 0.3330 0.5000 0.2588
Nb11 0.6640 0.5000 0.2626
Nb12 0.8360 0.5000 0.2626
Nb13 0.0016 0.5000 0.3423
Nb14 0.4984 0.5000 0.3423
Nb15 0.2500 0.0000 0.3797
Nb16 0.7500 0.0000 0.3892
Nb17 0.1508 0.5000 0.4968
Nb18 0.3492 0.5000 0.4968
Nb19 0.0000 0.0000 0.5000
Nb20 0.5000 0.0000 0.5000
Nb21 0.6508 0.5000 0.5032
Nb22 0.8492 0.5000 0.5032
Nb23 0.2500 0.0000 0.6108
Nb24 0.7500 0.0000 0.6203
Nb25 0.5016 0.5000 0.6577
Nb26 0.9984 0.5000 0.6577
Nb27 0.1640 0.5000 0.7374
Nb28 0.3360 0.5000 0.7374
Nb29 0.6670 0.5000 0.7412
Nb30 0.8330 0.5000 0.7412
Nb31 0.5625 0.0000 0.8409
Nb32 0.9375 0.0000 0.8409
Nb33 0.7500 0.0000 0.8805
Nb34 0.1210 0.0000 0.9307
Nb35 0.3790 0.0000 0.9307
Nb36 0.2500 0.5000 0.9427

=====

What is the magnetization in the fifth record? 0.004 μB per formula unit